12
Lattice="4.9669 0.0000 0.0000 0.4668 5.2999 0.0000 0.2572 0.5023 7.2005" Properties=species:S:1:pos:R:3 comment="Ag2IrPdF8 PBE relaxed" formation_energy_uncorrected_ev_per_atom=-1.25 total_energy_ev_per_fu=-49.7 total_magnetization_mub_per_cell=1.0 spacegroup="No. 2" pbc="T T T"
Ag 0.2371 0.1635 1.7918
Ag 5.4538 5.6387 5.4087
Ir 2.8454 2.9011 3.6002
Pd 2.7168 2.6500 0.0000
F 1.2592 4.0543 3.7174
F 1.2897 4.0399 0.0216
F 2.1290 1.5592 4.8307
F 2.1457 2.0170 1.9254
F 3.5451 3.7853 5.2751
F 3.5619 4.2430 2.3698
F 4.4012 1.7623 7.1789
F 4.4317 1.7480 3.4830